Entry 1:
TaAgI6 | PBE-GGA | optimized geometry

abc: 7.2744 7.2765 7.7973
angles: 62.14 62.17 60.04
Closest atoms and distances in Å follow each position.
Atoms (fractional coordinates):
1 I 0.2289 0.9262 0.2408  1 Ta 2.77, 1 Ag 3.06
2 I 0.0739 0.3962 0.7589  1 Ta 2.77, 1 Ag 3.05
3 Ag 0.5000 0.5000 0.5000  6 I 3.05-3.06
4 Ta 0.0000 0.0000 0.0000  6 I 2.77
5 I 0.3958 0.7713 0.7594  1 Ta 2.77, 1 Ag 3.06
6 I 0.6042 0.2287 0.2406  1 Ta 2.77, 1 Ag 3.06
7 I 0.7711 0.0738 0.7592  1 Ta 2.77, 1 Ag 3.06
8 I 0.9261 0.6038 0.2411  1 Ta 2.77, 1 Ag 3.05

Values from the calculation:
uncorrected formation energy = -0.332 eV per atom
ΔE to the lowest computed polymorph = 0.000 eV per atom
magnetic moment = 0.0 μB/cell
VASP energy = -3.33 eV/atom


Entry 2:
Ta3AgI | PBE-GGA | optimized geometry

abc: 4.9892 4.9892 4.9892
angles: 90.00 90.00 90.00
Closest atoms and distances in Å follow each position.
Atoms (fractional coordinates):
1 Ag 0.0000 0.0000 0.0000  6 Ta 2.49
2 Ta 0.0000 0.5000 0.0000  2 Ag 2.49
3 I 0.5000 0.5000 0.5000  12 Ta 3.53
4 Ta 0.5000 0.0000 0.0000  2 Ag 2.49
5 Ta 0.0000 0.0000 0.5000  2 Ag 2.49

Values from the calculation:
Fermi-level density of states = 1.24 states/eV per atom
uncorrected formation energy = 2.075 eV per atom
ΔE to the lowest computed polymorph = 0.000 eV per atom
magnetic moment = 0.0 μB/cell
VASP energy = -5.92 eV/atom


Entry 3:
Ta3AgI | PBE-GGA | optimized geometry

abc: 4.9893 4.9893 4.9893
angles: 90.00 90.00 90.00
Closest atoms and distances in Å follow each position.
Atoms (fractional coordinates):
1 Ta 0.0000 0.0000 0.5000  2 I 2.49
2 Ta 0.5000 0.0000 0.0000  2 I 2.49
3 I 0.0000 0.0000 0.0000  6 Ta 2.49
4 Ag 0.5000 0.5000 0.5000  12 Ta 3.53
5 Ta 0.0000 0.5000 0.0000  2 I 2.49

Values from the calculation:
Fermi-level density of states = 1.47 states/eV per atom
uncorrected formation energy = 2.198 eV per atom
ΔE to the lowest computed polymorph = 0.124 eV per atom
magnetic moment = 0.8 μB/cell
VASP energy = -5.79 eV/atom


Entry 4:
TaAgI3 | PBE-GGA | optimized geometry

abc: 5.5365 5.5365 5.5365
angles: 90.00 90.00 90.00
Closest atoms and distances in Å follow each position.
Atoms (fractional coordinates):
1 Ag 0.5000 0.5000 0.5000  12 I 3.91
2 Ta 0.0000 0.0000 0.0000  6 I 2.77
3 I 0.5000 0.0000 0.0000  2 Ta 2.77
4 I 0.0000 0.0000 0.5000  2 Ta 2.77
5 I 0.0000 0.5000 0.0000  2 Ta 2.77

Values from the calculation:
Fermi-level density of states = 1.00 states/eV per atom
uncorrected formation energy = 0.447 eV per atom
ΔE to the lowest computed polymorph = 0.000 eV per atom
magnetic moment = 0.0 μB/cell
VASP energy = -3.42 eV/atom


Entry 5:
TaAgI6 | PBE-GGA | optimized geometry

abc: 7.3161 8.2893 7.6025
angles: 106.05 100.18 123.94
Closest atoms and distances in Å follow each position.
Atoms (fractional coordinates):
1 I 0.1572 0.4201 0.3025  1 Ta 2.79, 1 Ag 2.98
2 I 0.4512 0.7286 0.0000  1 Ta 2.74
3 I 0.8428 0.5799 0.6975  1 Ta 2.79, 1 Ag 2.98
4 Ta 0.0000 0.5000 0.0000  6 I 2.74-2.79
5 Ag 0.0000 0.0000 0.0000  6 I 2.98-3.33
6 I 0.5488 0.2714 0.0000  1 Ta 2.74
7 I 0.8547 0.1176 0.6975  1 Ta 2.79, 1 Ag 2.98
8 I 0.1453 0.8824 0.3025  1 Ta 2.79, 1 Ag 2.98

Values from the calculation:
Fermi-level density of states = 0.09 states/eV per atom
uncorrected formation energy = -0.318 eV per atom
ΔE to the lowest computed polymorph = 0.014 eV per atom
magnetic moment = 0.0 μB/cell
VASP energy = -3.32 eV/atom


Entry 6:
TaAgTeI2 | PBE-GGA | optimized geometry

abc: 5.5851 5.5851 5.3986
angles: 90.00 90.00 90.00
Closest atoms and distances in Å follow each position.
Atoms (fractional coordinates):
1 Ag 0.5000 0.5000 0.5000  8 I 3.88, 4 Te 3.95
2 I 0.5000 0.0000 0.0000  2 Ta 2.79
3 Te 0.0000 0.0000 0.5000  2 Ta 2.70
4 Ta 0.0000 0.0000 0.0000  2 Te 2.70, 4 I 2.79
5 I 0.0000 0.5000 0.0000  2 Ta 2.79

Values from the calculation:
Fermi-level density of states = 0.83 states/eV per atom
uncorrected formation energy = 0.400 eV per atom
ΔE to the lowest computed polymorph = 0.000 eV per atom
magnetic moment = 0.0 μB/cell
VASP energy = -3.79 eV/atom


Entry 7:
Tb4AgI5 | PBE-GGA | optimized geometry

abc: 4.1651 9.0536 9.8413
angles: 102.08 102.22 90.00
Closest atoms and distances in Å follow each position.
Atoms (fractional coordinates):
1 I 0.8315 0.6600 0.6630  3 Tb 3.14-3.17
2 Ag 0.5000 0.0000 0.0000  6 Tb 2.84-2.87
3 Tb 0.6512 0.0756 0.3023  1 Ag 2.84, 4 I 3.14-3.18
4 Tb 0.3488 0.9244 0.6977  1 Ag 2.84, 4 I 3.14-3.18
5 I 0.8249 0.1740 0.6499  4 Tb 3.18-3.33
6 Tb 0.0012 0.2184 0.0025  2 Ag 2.87, 1 I 3.17
7 Tb 0.9988 0.7816 0.9975  2 Ag 2.87, 1 I 3.17
8 I 0.1685 0.3400 0.3370  3 Tb 3.14-3.17
9 I 0.1751 0.8260 0.3501  4 Tb 3.18-3.33
10 I 0.5000 0.5000 0.0000  4 Tb 3.30

Values from the calculation:
Fermi-level density of states = 0.51 states/eV per atom
uncorrected formation energy = -0.949 eV per atom
magnetic moment = 0.0 μB/cell
VASP energy = -3.86 eV/atom


Entry 8:
Tb2AgI | PBE-GGA | optimized geometry

abc: 4.0927 4.0927 8.4848
angles: 76.04 76.04 60.00
Closest atoms and distances in Å follow each position.
Atoms (fractional coordinates):
1 Tb 0.0709 0.0709 0.7874  3 Ag 2.92
2 I 0.4993 0.4993 0.5020  6 Tb 3.32-3.34
3 Ag 0.6675 0.6675 0.9975  6 Tb 2.92-2.94
4 Tb 0.2623 0.2623 0.2132  3 Ag 2.94

Values from the calculation:
Fermi-level density of states = 1.08 states/eV per atom
uncorrected formation energy = -0.435 eV per atom
magnetic moment = 0.0 μB/cell
VASP energy = -3.85 eV/atom